Record 1
First-principles (PBE) data for an optimized crystal structure of La2Be3Ni12Rh, as listed in Alexandria.

Unit cell a=7.5045 b=7.5045 c=7.5045 alpha=55.83 beta=55.83 gamma=55.83
With the nearest neighbours (Å) after each atom.
Sites, in units of the cell vectors:
La  0.1168  0.1168  0.1168  6 Ni 2.65-2.73
La  0.8832  0.8832  0.8832  6 Ni 2.65-2.73
Be  0.0000  0.5000  0.5000  6 Ni 2.08-2.14
Be  0.5000  0.0000  0.5000  6 Ni 2.08-2.14
Be  0.5000  0.5000  0.0000  6 Ni 2.08-2.14
Ni  0.0912  0.6235  0.6235  1 Be 2.14, 1 Rh 2.39
Ni  0.1411  0.1411  0.6183  2 Be 2.08
Ni  0.1411  0.6183  0.1411  2 Be 2.08
Ni  0.3765  0.3765  0.9088  1 Be 2.14, 1 Rh 2.39
Ni  0.3765  0.9088  0.3765  1 Be 2.14, 1 Rh 2.39
Ni  0.3817  0.8589  0.8589  2 Be 2.08
Ni  0.6183  0.1411  0.1411  2 Be 2.08
Ni  0.6235  0.0912  0.6235  1 Be 2.14, 1 Rh 2.39
Ni  0.6235  0.6235  0.0912  1 Be 2.14, 1 Rh 2.39
Ni  0.8589  0.3817  0.8589  2 Be 2.08
Ni  0.8589  0.8589  0.3817  2 Be 2.08
Ni  0.9088  0.3765  0.3765  1 Be 2.14, 1 Rh 2.39
Rh  0.5000  0.5000  0.5000  6 Ni 2.39

Results
SG: R-3m
Calculated formation energy: 0.26 eV per atom
Theoretical density: 6.8 g cm⁻³
VASP energy: -5.170 eV per atom

=====

Record 2
First-principles (PBE) data for an optimized crystal structure of LaBeNi2S, as listed in Alexandria.

Unit cell a=4.2435 b=4.2435 c=5.4703 alpha=90.00 beta=90.00 gamma=90.00
With the nearest neighbours (Å) after each atom.
Sites, in units of the cell vectors:
La  0.0000  0.0000  0.0000  2 S 2.74, 4 Be 3.00
Be  0.5000  0.5000  0.0000  4 La 3.00
Ni  0.0000  0.5000  0.5000  2 S 2.12
Ni  0.5000  0.0000  0.5000  2 S 2.12
S  0.0000  0.0000  0.5000  4 Ni 2.12

Results
SG: P4/mmm
ΔE_f (raw): 0.095 eV per atom
Theoretical density: 5.0 g cm⁻³
VASP energy: -4.773 eV per atom

=====

Record 3
First-principles (PBE) data for an optimized crystal structure of La2Be4Si3Ni, as listed in Alexandria.

Unit cell a=3.9899 b=3.9899 c=9.7279 alpha=90.00 beta=90.00 gamma=90.00
With the nearest neighbours (Å) after each atom.
Sites, in units of the cell vectors:
La  0.0000  0.5000  0.2493  6 Si 3.05-3.15, 8 Be 3.09-3.14, 2 Ni 3.15
La  0.5000  0.0000  0.7507  6 Si 3.05-3.15, 8 Be 3.09-3.14, 2 Ni 3.15
Be  0.0000  0.0000  0.0000  4 Si 2.36
Be  0.0000  0.5000  0.6205  2 Ni 2.31, 3 Si 2.31-2.43
Be  0.5000  0.0000  0.3795  2 Ni 2.31, 3 Si 2.31-2.43
Be  0.5000  0.5000  0.0000  4 Si 2.36
Si  0.0000  0.5000  0.8704  5 Be 2.36-2.43
Si  0.5000  0.0000  0.1296  5 Be 2.36-2.43
Si  0.5000  0.5000  0.5000  4 Be 2.31
Ni  0.0000  0.0000  0.5000  4 Be 2.31

Results
SG: P-4m2
ΔE_f (raw): -0.420 eV per atom
Theoretical density: 4.9 g cm⁻³
VASP energy: -5.101 eV per atom

=====

Record 4
First-principles (PBE) data for an optimized crystal structure of La2BeSi3Ni4, as listed in Alexandria.

Unit cell a=4.0749 b=4.0749 c=9.5902 alpha=90.00 beta=90.00 gamma=90.00
With the nearest neighbours (Å) after each atom.
Sites, in units of the cell vectors:
La  0.0000  0.5000  0.2448  2 Be 3.11, 6 Si 3.11-3.14, 8 Ni 3.12-3.18
La  0.5000  0.0000  0.7552  2 Be 3.11, 6 Si 3.11-3.14, 8 Ni 3.12-3.18
Be  0.5000  0.5000  0.0000  4 Ni 2.34
Si  0.0000  0.0000  0.0000  4 Ni 2.34
Si  0.0000  0.5000  0.6249  5 Ni 2.36-2.44
Si  0.5000  0.0000  0.3751  5 Ni 2.36-2.44
Ni  0.0000  0.0000  0.5000  4 Si 2.36
Ni  0.0000  0.5000  0.8797  2 Be 2.34, 3 Si 2.34-2.44
Ni  0.5000  0.0000  0.1203  2 Be 2.34, 3 Si 2.34-2.44
Ni  0.5000  0.5000  0.5000  4 Si 2.36

Results
SG: P-4m2
ΔE_f (raw): -0.664 eV per atom
Theoretical density: 6.3 g cm⁻³
VASP energy: -5.961 eV per atom